Entry 1:
Below is MgCo2Br at its PBEsol-relaxed geometry, with properties calculated at the SCAN level.

a = 2.960 Å, b = 2.960 Å, c = 8.104 Å
α = 90.00°, β = 90.00°, γ = 117.91°
Fractional coordinates of all 4 atoms:
1 Mg 0.000 0.000 0.000
2 Co 0.500 0.500 0.261
3 Co 0.500 0.500 0.739
4 Br 0.000 0.000 0.500

Properties
N(E_F): 2.481 states/eV per cell
Formation energy without anion corrections: 0.609 eV per atom
Magnetic moment: 3.9 μB per cell
Electronic total energy: -14.151 eV/atom
Offset from the most stable computed form: 56 meV per atom



Entry 2:
Below is MgCoBr2 at its PBEsol-relaxed geometry, with properties calculated at the SCAN level.

a = 3.264 Å, b = 3.264 Å, c = 7.876 Å
α = 90.00°, β = 90.00°, γ = 90.00°
Fractional coordinates of all 4 atoms:
1 Mg 0.000 0.000 0.000
2 Co 0.500 0.500 0.762
3 Br 0.000 0.000 0.620
4 Br 0.500 0.500 0.198

Properties
N(E_F): 1.854 states/eV per cell
Formation energy without anion corrections: -0.219 eV per atom
Magnetic moment: 2.0 μB per cell
Electronic total energy: -15.519 eV/atom
Offset from the most stable computed form: 21 meV per atom



Entry 3:
Below is MgCoBr3 at its PBEsol-relaxed geometry, with properties calculated at the SCAN level.

a = 4.824 Å, b = 4.824 Å, c = 4.824 Å
α = 90.00°, β = 90.00°, γ = 90.00°
Fractional coordinates of all 5 atoms:
1 Mg 0.000 0.000 0.000
2 Co 0.500 0.500 0.500
3 Br 0.000 0.500 0.500
4 Br 0.500 0.000 0.500
5 Br 0.500 0.500 0.000

Properties
N(E_F): 1.204 states/eV per cell
Formation energy without anion corrections: -0.411 eV per atom
Magnetic moment: 1.6 μB per cell
Electronic total energy: -16.542 eV/atom



Entry 4:
Below is MgCo2Br at its PBEsol-relaxed geometry, with properties calculated at the SCAN level.

a = 4.288 Å, b = 4.288 Å, c = 4.288 Å
α = 60.00°, β = 60.00°, γ = 60.00°
Fractional coordinates of all 4 atoms:
1 Mg 0.000 0.000 0.000
2 Co 0.250 0.250 0.250
3 Co 0.750 0.750 0.750
4 Br 0.500 0.500 0.500

Properties
N(E_F): 1.662 states/eV per cell
Formation energy without anion corrections: 0.781 eV per atom
Magnetic moment: 2.3 μB per cell
Electronic total energy: -13.979 eV/atom
Offset from the most stable computed form: 228 meV per atom



Entry 5:
Below is MgCoBr2 at its PBEsol-relaxed geometry, with properties calculated at the SCAN level.

a = 5.803 Å, b = 5.803 Å, c = 5.803 Å
α = 146.85°, β = 109.96°, γ = 79.72°
Fractional coordinates of all 4 atoms:
1 Mg 0.000 0.000 0.000
2 Co 0.251 0.751 0.500
3 Br 0.431 0.431 0.000
4 Br 0.779 0.279 0.500

Properties
N(E_F): 1.040 states/eV per cell
Formation energy without anion corrections: -0.241 eV per atom
Magnetic moment: 1.0 μB per cell
Electronic total energy: -15.540 eV/atom
Offset from the most stable computed form: 0 meV per atom



Entry 6:
Below is Mg2CoBr at its PBEsol-relaxed geometry, with properties calculated at the SCAN level.

a = 4.736 Å, b = 4.736 Å, c = 3.156 Å
α = 90.00°, β = 90.00°, γ = 90.00°
Fractional coordinates of all 4 atoms:
1 Mg 0.000 0.500 0.000
2 Mg 0.500 0.000 0.000
3 Co 0.000 0.000 0.500
4 Br 0.500 0.500 0.500

Properties
N(E_F): 1.829 states/eV per cell
Formation energy without anion corrections: 0.104 eV per atom
Magnetic moment: 1.7 μB per cell
Electronic total energy: -11.573 eV/atom